Entry 1:
DFT (PBE) results for a relaxed structure of NbInIr3.

ΔE_f: 1.298 eV per atom
E above lowest polymorph: 0 meV/atom
Total magnetization: 0.0 μB/f.u.
Space group: Pm-3m, No. 221

Cell: 4.8047 4.8047 4.8047 Å, 90.00 90.00 90.00°
Last column: nearest neighbours and their distance in Å.
Fractional positions:
Ir 0.5000 0.0000 0.0000  2 Nb 2.40
Ir 0.0000 0.0000 0.5000  2 Nb 2.40
Ir 0.0000 0.5000 0.0000  2 Nb 2.40
In 0.5000 0.5000 0.5000  12 Ir 3.40
Nb 0.0000 0.0000 0.0000  6 Ir 2.40

Entry 2:
DFT (PBE) results for a relaxed structure of NbIn3Ir.

ΔE_f: 0.817 eV per atom
E above lowest polymorph: 0 meV/atom
Total magnetization: 0.2 μB/f.u.
Space group: Pm-3m, No. 221

Cell: 5.0471 5.0471 5.0471 Å, 90.00 90.00 90.00°
Last column: nearest neighbours and their distance in Å.
Fractional positions:
In 0.5000 0.0000 0.0000  2 Ir 2.52
In 0.0000 0.0000 0.5000  2 Ir 2.52
In 0.0000 0.5000 0.0000  2 Ir 2.52
Ir 0.0000 0.0000 0.0000  6 In 2.52
Nb 0.5000 0.5000 0.5000  12 In 3.57

Entry 3:
DFT (PBE) results for a relaxed structure of NbInIr2.

ΔE_f: -0.346 eV per atom
Total magnetization: 0.0 μB/f.u.
Space group: P4/mmm, No. 123

Cell: 2.9668 2.9668 7.5911 Å, 90.00 90.00 90.00°
Last column: nearest neighbours and their distance in Å.
Fractional positions:
Ir 0.0000 0.0000 0.7415  4 Nb 2.79, 4 In 2.87, 4 Ir 2.97
Ir 0.0000 0.0000 0.2585  4 Nb 2.79, 4 In 2.87, 4 Ir 2.97
In 0.5000 0.5000 0.0000  8 Ir 2.87, 4 In 2.97
Nb 0.5000 0.5000 0.5000  8 Ir 2.79, 4 Nb 2.97

Entry 4:
DFT (PBE) results for a relaxed structure of NbInPIr2.

ΔE_f: 0.181 eV per atom
E above lowest polymorph: 0 meV/atom
Total magnetization: 0.0 μB/f.u.
Space group: P4/mmm, No. 123

Cell: 4.4249 4.6787 4.4249 Å, 90.00 90.00 90.00°
Last column: nearest neighbours and their distance in Å.
Fractional positions:
Ir 0.5000 0.0000 0.0000  2 P 2.21
Ir 0.0000 0.0000 0.5000  2 P 2.21
P 0.0000 0.0000 0.0000  4 Ir 2.21, 2 Nb 2.34
In 0.5000 0.5000 0.5000  4 Nb 3.13, 8 Ir 3.22
Nb 0.0000 0.5000 0.0000  2 P 2.34

Entry 5:
DFT (PBE) results for a relaxed structure of NbInPIr2.

ΔE_f: 1.911 eV per atom
E above lowest polymorph: 1730 meV/atom
Total magnetization: 0.0 μB/f.u.
Space group: P4/mmm, No. 123

Cell: 4.8370 4.6853 4.8370 Å, 90.00 90.00 90.00°
Last column: nearest neighbours and their distance in Å.
Fractional positions:
P 0.0000 0.5000 0.0000  2 In 2.34
Nb 0.5000 0.5000 0.5000  8 Ir 3.37, 4 P 3.42
Ir 0.5000 0.0000 0.0000  2 In 2.42
Ir 0.0000 0.0000 0.5000  2 In 2.42
In 0.0000 0.0000 0.0000  2 P 2.34, 4 Ir 2.42

Entry 6:
DFT (PBE) results for a relaxed structure of NbInIrPd.

ΔE_f: -0.273 eV per atom
Total magnetization: 0.0 μB/f.u.
Space group: F-43m, No. 216

Cell: 4.5922 4.5922 4.5922 Å, 60.00 60.00 60.00°
Last column: nearest neighbours and their distance in Å.
Fractional positions:
In 0.7500 0.7500 0.7500  4 Pd 2.81, 4 Ir 2.81
Ir 0.0000 0.0000 0.0000  4 In 2.81, 4 Nb 2.81
Pd 0.5000 0.5000 0.5000  4 Nb 2.81, 4 In 2.81
Nb 0.2500 0.2500 0.2500  4 Ir 2.81, 4 Pd 2.81

Entry 7:
DFT (PBE) results for a relaxed structure of NbInIrPd2.

ΔE_f: 1.506 eV per atom
Total magnetization: 0.0 μB/f.u.
Space group: P4/mmm, No. 123

Cell: 4.7046 5.2360 4.7046 Å, 90.00 90.00 90.00°
Last column: nearest neighbours and their distance in Å.
Fractional positions:
Pd 0.0000 0.0000 0.5000  2 Nb 2.35
Pd 0.5000 0.0000 0.0000  2 Nb 2.35
In 0.0000 0.5000 0.0000  2 Nb 2.62
Nb 0.0000 0.0000 0.0000  4 Pd 2.35, 2 In 2.62
Ir 0.5000 0.5000 0.5000  4 In 3.33, 8 Pd 3.52

Entry 8:
DFT (PBE) results for a relaxed structure of NbInIrRu.

ΔE_f: -0.197 eV per atom
Total magnetization: 0.0 μB/f.u.
Space group: F-43m, No. 216

Cell: 4.5450 4.5450 4.5450 Å, 60.00 60.00 60.00°
Last column: nearest neighbours and their distance in Å.
Fractional positions:
Nb 0.0000 0.0000 0.0000  4 Ru 2.78, 4 Ir 2.78
Ru 0.7500 0.7500 0.7500  4 Nb 2.78, 4 In 2.78
In 0.5000 0.5000 0.5000  4 Ru 2.78, 4 Ir 2.78
Ir 0.2500 0.2500 0.2500  4 In 2.78, 4 Nb 2.78

Entry 9:
DFT (PBE) results for a relaxed structure of Nb2In2IrS6.

Total magnetization: 0.0 μB/f.u.
Raw formation energy: -0.624 eV per atom
Space group: C2/m, No. 12

Cell: 6.0295 6.0295 9.1142 Å, 102.33 102.33 122.66°
Last column: nearest neighbours and their distance in Å.
Fractional positions:
S 0.4414 0.1025 0.6688  1 Ir 2.43, 2 Nb 2.46-2.63
S 0.1025 0.4414 0.6688  1 Ir 2.43, 2 Nb 2.46-2.63
S 0.5586 0.8975 0.3312  1 Ir 2.43, 2 Nb 2.46-2.63
S 0.8304 0.8304 0.7041  2 Nb 2.46, 1 Ir 2.46
S 0.1696 0.1696 0.2959  2 Nb 2.46, 1 Ir 2.46
S 0.8975 0.5586 0.3312  1 Ir 2.43, 2 Nb 2.46-2.63
Nb 0.6366 0.3634 0.5000  6 S 2.46-2.63
Nb 0.3634 0.6366 0.5000  6 S 2.46-2.63
In 0.2209 0.7791 0.0000  2 S 2.94, 2 In 2.96
In 0.7791 0.2209 0.0000  2 S 2.94, 2 In 2.96
Ir 0.0000 0.0000 0.5000  6 S 2.43-2.46

Entry 10:
DFT (PBE) results for a relaxed structure of NbInTcIr.

ΔE_f: -0.213 eV per atom
Total magnetization: 0.0 μB/f.u.
Space group: F-43m, No. 216

Cell: 4.5505 4.5505 4.5505 Å, 60.00 60.00 60.00°
Last column: nearest neighbours and their distance in Å.
Fractional positions:
Tc 0.5000 0.5000 0.5000  4 Nb 2.79, 4 In 2.79
Nb 0.2500 0.2500 0.2500  4 Tc 2.79, 4 Ir 2.79
In 0.7500 0.7500 0.7500  4 Ir 2.79, 4 Tc 2.79
Ir 0.0000 0.0000 0.0000  4 Nb 2.79, 4 In 2.79

Entry 11:
DFT (PBE) results for a relaxed structure of Ti5NbIn2Ir2.

ΔE_f: -0.242 eV per atom
Total magnetization: 0.0 μB/f.u.
Space group: P4/mbm, No. 127

Cell: 3.2321 10.6763 10.6763 Å, 90.00 90.00 90.00°
Last column: nearest neighbours and their distance in Å.
Fractional positions:
Nb 0.0000 0.5000 0.5000  8 Ti 2.73
Nb 0.0000 0.0000 0.0000  8 Ti 2.73
Ti 0.5000 0.0000 0.5000  4 Ir 2.55
Ti 0.5000 0.5643 0.6963  2 Ir 2.56, 2 Nb 2.73
Ti 0.5000 0.0643 0.8037  2 Ir 2.56, 2 Nb 2.73
Ti 0.5000 0.5000 0.0000  4 Ir 2.55
Ti 0.5000 0.1963 0.0643  2 Ir 2.56, 2 Nb 2.73
Ti 0.5000 0.4357 0.3037  2 Ir 2.56, 2 Nb 2.73
Ti 0.5000 0.8037 0.9357  2 Ir 2.56, 2 Nb 2.73
Ti 0.5000 0.3037 0.5643  2 Ir 2.56, 2 Nb 2.73
Ti 0.5000 0.9357 0.1963  2 Ir 2.56, 2 Nb 2.73
Ti 0.5000 0.6963 0.4357  2 Ir 2.56, 2 Nb 2.73
Ir 0.0000 0.6306 0.8694  6 Ti 2.55-2.56
Ir 0.0000 0.3694 0.1306  6 Ti 2.55-2.56
Ir 0.0000 0.1306 0.6306  6 Ti 2.55-2.56
Ir 0.0000 0.8694 0.3694  6 Ti 2.55-2.56
In 0.0000 0.3262 0.8262  3 Ir 2.95-3.28, 6 Ti 3.08-3.24, 2 In 3.23
In 0.0000 0.1738 0.3262  3 Ir 2.95-3.28, 6 Ti 3.08-3.24, 2 In 3.23
In 0.0000 0.6738 0.1738  3 Ir 2.95-3.28, 6 Ti 3.08-3.24, 2 In 3.23
In 0.0000 0.8262 0.6738  3 Ir 2.95-3.28, 6 Ti 3.08-3.24, 2 In 3.23

Entry 12:
DFT (PBE) results for a relaxed structure of Nd6In2Ir.

ΔE_f: -0.412 eV per atom
E above lowest polymorph: 0 meV/atom
Total magnetization: 0.0 μB/f.u.
Space group: Amm2, No. 38

Cell: 3.9347 8.9200 8.9178 Å, 120.01 90.00 90.00°
Last column: nearest neighbours and their distance in Å.
Fractional positions:
Nd 0.5000 0.6044 0.0000  4 In 3.37, 1 Ir 3.53, 6 Nd 3.65-3.78
Nd 0.5000 0.9999 0.6048  4 In 3.37, 1 Ir 3.52, 4 Nd 3.65-3.66
Nd 0.0000 0.7573 0.7576  2 Ir 2.93
Nd 0.0000 0.9997 0.2424  2 Ir 2.93
Nd 0.5000 0.3951 0.3952  4 In 3.37, 1 Ir 3.52, 4 Nd 3.65-3.66
Nd 0.0000 0.2431 0.0000  2 Ir 2.92
In 0.0000 0.6668 0.3337  9 Nd 3.37-3.45
In 0.0000 0.3331 0.6663  9 Nd 3.37-3.45
Ir 0.5000 0.0005 0.0000  6 Nd 2.92-2.93

no.,raw total energy (eV/atom)
1,-6.580
2,-4.613
3,-7.978
4,-7.007
5,-5.277
6,-6.988
7,-4.905
8,-7.933
9,-6.010
10,-8.221
11,-7.517
12,-5.183